Record 1
Density functional theory data (GGA-PBE) for a relaxed structure of YB4Ru4.

Cell and atoms, written as extended XYZ:
```
36
Lattice="-3.749 3.749 7.530 3.749 -3.749 7.530 3.749 3.749 -7.530" Properties=species:S:1:pos:R:3 pbc="T T T"
Y 3.749 1.874 -1.883
Y 0.000 1.874 1.883
Y 3.749 1.874 5.648
Y 0.000 1.874 9.413
B 1.260 0.820 -0.654
B 1.054 -0.614 3.111
B 2.489 0.820 0.654
B 4.803 -0.614 4.419
B 4.803 0.614 3.111
B 2.489 -0.820 6.877
B 1.054 0.614 4.419
B 1.260 -0.820 8.184
B 2.489 4.569 -0.654
B 2.695 3.135 3.111
B 1.260 4.569 0.654
B -1.054 3.135 4.419
B -1.054 4.363 3.111
B 1.260 2.929 6.877
B 2.695 4.363 4.419
B 2.489 2.929 8.184
Ru 6.633 0.764 -0.952
Ru 2.639 2.739 -4.717
Ru 4.614 0.764 0.952
Ru 2.639 -1.010 4.717
Ru 2.639 1.010 2.813
Ru 0.865 2.985 -0.952
Ru 2.639 4.759 -2.813
Ru 2.884 2.985 0.952
Ru 0.865 0.764 6.578
Ru 1.110 -1.010 10.344
Ru 2.884 0.764 8.482
Ru 1.110 2.739 4.717
Ru 1.110 4.759 2.813
Ru -0.865 2.985 6.578
Ru 1.110 1.010 12.247
Ru -2.884 2.985 8.482
```

Summary:
Space group   I4_1/acd, No. 142
DFT formation energy   -0.492 eV per atom
Energy above the most stable polymorph in this dataset   0.0 meV/atom

=====

Record 2
Density functional theory data (GGA-PBE) for a relaxed structure of Ba2Tl2SnPb4.

Cell and atoms, written as extended XYZ:
```
9
Lattice="-3.855 3.855 5.419 3.855 -3.855 5.419 3.855 3.855 -5.419" Properties=species:S:1:pos:R:3 pbc="T T T"
Ba 3.855 0.000 2.710
Ba 0.000 3.855 2.710
Tl 0.000 0.000 2.341
Tl 0.000 0.000 8.497
Sn 0.000 0.000 5.419
Pb 1.669 1.669 0.000
Pb 2.186 -2.186 5.419
Pb -2.186 2.186 5.419
Pb 2.186 2.186 5.419
```

Summary:
Space group   I4/mmm, No. 139
DFT formation energy   -0.255 eV per atom

=====

Record 3
Density functional theory data (GGA-PBE) for a relaxed structure of Sb2TeOs.

Cell and atoms, written as extended XYZ:
```
4
Lattice="4.132 0.000 0.000 0.000 2.581 4.896 0.000 -2.581 4.896" Properties=species:S:1:pos:R:3 pbc="T T T"
Sb 0.000 0.000 0.000
Sb 2.066 0.000 3.194
Te 0.000 0.000 6.330
Os 2.066 0.000 8.082
```

Summary:
Uncorrected formation energy   17.08 kJ per mole of atoms
Space group   Amm2, No. 38

=====

Record 4
Density functional theory data (GGA-PBE) for a relaxed structure of CdTcN3.

Cell and atoms, written as extended XYZ:
```
5
Lattice="3.916 0.000 0.000 0.000 3.916 0.000 0.000 0.000 3.916" Properties=species:S:1:pos:R:3 pbc="T T T"
Cd 0.000 0.000 0.000
Tc 1.958 1.958 1.958
N 0.000 1.958 1.958
N 1.958 0.000 1.958
N 1.958 1.958 0.000
```

Summary:
Uncorrected formation energy   82.14 kJ per mole of atoms
Space group   Pm-3m, No. 221

=====

Record 5
Density functional theory data (GGA-PBE) for a relaxed structure of BaHfAs2Ru.

Cell and atoms, written as extended XYZ:
```
5
Lattice="5.104 0.000 0.000 0.000 5.104 0.000 0.000 0.000 6.214" Properties=species:S:1:pos:R:3 pbc="T T T"
Ba 0.000 0.000 0.000
Hf 0.000 0.000 3.107
As 0.000 2.552 3.107
As 2.552 0.000 3.107
Ru 2.552 2.552 0.000
```

Summary:
Space group   P4/mmm, No. 123
DFT formation energy   0.927 eV per atom

=====

Record 6
Density functional theory data (GGA-PBE) for a relaxed structure of Sm2PuAu3.

Cell and atoms, written as extended XYZ:
```
6
Lattice="3.643 0.000 0.000 0.000 3.643 0.000 0.000 0.000 11.111" Properties=species:S:1:pos:R:3 pbc="T T T"
Sm 0.000 0.000 1.865
Sm 0.000 0.000 9.245
Pu 0.000 0.000 5.555
Au 1.821 1.821 0.000
Au 1.821 1.821 3.639
Au 1.821 1.821 7.472
```

Summary:
Space group   P4/mmm, No. 123
DFT formation energy   -0.665 eV per atom

=====

Record 7
Density functional theory data (GGA-PBE) for a relaxed structure of MnZn2In.

Cell and atoms, written as extended XYZ:
```
4
Lattice="-1.977 1.977 4.164 1.977 -1.977 4.164 1.977 1.977 -4.164" Properties=species:S:1:pos:R:3 pbc="T T T"
Mn 0.000 0.000 0.000
Zn 0.000 0.000 4.164
Zn 0.000 1.977 2.082
In 1.977 0.000 2.082
```

Summary:
Space group   I-4m2, No. 119
DFT formation energy   0.148 eV per atom

=====

Record 8
Density functional theory data (GGA-PBE) for a relaxed structure of LaTmTlZn.

Cell and atoms, written as extended XYZ:
```
4
Lattice="0.000 3.783 3.783 3.783 0.000 3.783 3.783 3.783 0.000" Properties=species:S:1:pos:R:3 pbc="T T T"
La 0.000 0.000 0.000
Tm 3.783 3.783 3.783
Tl 5.674 5.674 5.674
Zn 1.891 1.891 1.891
```

Summary:
Space group   F-43m, No. 216
DFT formation energy   -0.321 eV per atom

=====

Record 9
Density functional theory data (GGA-PBE) for a relaxed structure of CaZrSb2I.

Cell and atoms, written as extended XYZ:
```
5
Lattice="5.583 0.000 0.000 0.000 5.583 0.000 0.000 0.000 5.825" Properties=species:S:1:pos:R:3 pbc="T T T"
Ca 0.000 0.000 0.000
Zr 0.000 0.000 2.912
Sb 0.000 2.792 0.000
Sb 2.792 0.000 0.000
I 2.792 2.792 2.912
```

Summary:
Uncorrected formation energy   85.34 kJ per mole of atoms
Space group   P4/mmm, No. 123
Energy above the most stable polymorph in this dataset   1204.7 meV/atom

=====

Record 10
Density functional theory data (GGA-PBE) for a relaxed structure of BaAc2DyTl4.

Cell and atoms, written as extended XYZ:
```
8
Lattice="2.892 1.670 9.495 -2.892 1.670 9.495 0.000 -3.340 9.495" Properties=species:S:1:pos:R:3 pbc="T T T"
Ba 0.000 0.000 0.000
Ac 0.000 0.000 7.134
Ac 0.000 0.000 21.350
Dy 0.000 0.000 14.242
Tl 0.000 0.000 3.700
Tl 0.000 0.000 10.958
Tl 0.000 0.000 17.526
Tl 0.000 0.000 24.784
```

Summary:
Space group   R-3m, No. 166
DFT formation energy   -0.318 eV per atom

=====

Record 11
Density functional theory data (GGA-PBE) for a relaxed structure of Mg3Sb.

Cell and atoms, written as extended XYZ:
```
4
Lattice="3.266 0.000 0.000 0.000 5.318 0.000 0.000 0.000 5.468" Properties=species:S:1:pos:R:3 pbc="T T T"
Mg 0.000 0.000 0.000
Mg 0.000 2.659 1.849
Mg 1.633 0.000 2.727
Sb 1.633 2.659 4.569
```

Summary:
Uncorrected formation energy   -7.49 kJ per mole of atoms
Space group   Pmm2, No. 25
Energy above the most stable polymorph in this dataset   94.9 meV/atom

=====

Record 12
Density functional theory data (GGA-PBE) for a relaxed structure of PuHfCd.

Cell and atoms, written as extended XYZ:
```
3
Lattice="-1.566 1.566 7.133 1.566 -1.566 7.133 1.566 1.566 -7.133" Properties=species:S:1:pos:R:3 pbc="T T T"
Pu 0.000 0.000 0.000
Hf 0.000 0.000 4.766
Cd 0.000 0.000 9.675
```

Summary:
Space group   I4mm, No. 107
DFT formation energy   0.054 eV per atom
Energy above the most stable polymorph in this dataset   0.0 meV/atom